No. 1
Density functional theory data (PBE+U) for a geometry-optimized Lu3MnO structure.

Values from the calculation:
- Calculated volume: 102.31 Å³ per cell
- Fermi-level density of states: 4.296 states/eV/f.u.
- Uncorrected energy: -6.25 eV/atom
- Total magnetization: 4.2 μB/cell

Unit cell a=4.6770 b=4.6770 c=4.6770 alpha=90.00 beta=90.00 gamma=90.00
Space group Pm-3m (No. 221)
Asymmetric unit:
Lu 0.0000 0.0000 0.5000 x3
Mn 0.5000 0.5000 0.5000 x1
O 0.0000 0.0000 0.0000 x1

No. 2
Density functional theory data (PBE+U) for a geometry-optimized Lu2Mn3Sb3O14 structure.

Values from the calculation:
- Calculated volume: 539.02 Å³ per cell
- Uncorrected energy: -7.16 eV/atom
- Total magnetization: 12.0 μB/cell

Unit cell a=12.4609 b=7.3064 c=7.1917 alpha=90.00 beta=124.59 gamma=90.00
Space group C2/m (No. 12)
Asymmetric unit:
Lu 0.0000 0.0000 0.0000 x2
Lu 0.0000 0.0000 0.5000 x2
Mn 0.0000 0.5000 0.0000 x2
Mn 0.2500 0.2500 0.5000 x4
Sb 0.0000 0.5000 0.5000 x2
Sb 0.2500 0.2500 0.0000 x4
O 0.0765 0.5000 0.3225 x4
O 0.1215 0.2911 0.6664 x8
O 0.1232 0.2782 0.0752 x8
O 0.1236 0.0000 0.3757 x4
O 0.1685 0.0000 0.9028 x4